The following is a DFT calculation (GGA-PBE) of SrWN3 after structural relaxation.

Summary:
Space-group type: R-3
Electronic total energy: -8.30 eV per atom
Energy relative to the elements, uncorrected: -0.377 eV per atom

```
data_SrWN3
_cell_length_a 6.315
_cell_length_b 6.315
_cell_length_c 6.315
_cell_angle_alpha 52.54
_cell_angle_beta 52.54
_cell_angle_gamma 52.54
_symmetry_space_group_name_H-M 'P 1'
_symmetry_Int_Tables_number 1
loop_
_symmetry_equiv_pos_as_xyz
'x,y,z'
loop_
_atom_site_label
_atom_site_type_symbol
_atom_site_fract_x
_atom_site_fract_y
_atom_site_fract_z
_atom_site_occupancy
Sr1 Sr 0.130 0.130 0.130 1
Sr2 Sr 0.870 0.870 0.870 1
W1 W 0.353 0.353 0.353 1
W2 W 0.647 0.647 0.647 1
N1 N 0.069 0.645 0.508 1
N2 N 0.355 0.492 0.931 1
N3 N 0.492 0.931 0.355 1
N4 N 0.508 0.069 0.645 1
N5 N 0.645 0.508 0.069 1
N6 N 0.931 0.355 0.492 1
```